No. 1
Below is a geometry-optimized Ce4Zn2Ga5 structure, with properties calculated at the PBE level.

a = 7.200 Å, b = 3.367 Å, c = 9.661 Å
α = 90.00°, β = 93.43°, γ = 90.00°
Atoms (fractional coordinates):
Ce1 0.146 0.000 0.403
Ce2 0.310 0.000 0.951
Ce3 0.690 0.000 0.049
Ce4 0.854 0.000 0.597
Zn1 0.048 0.500 0.133
Zn2 0.952 0.500 0.867
Ga1 0.217 0.500 0.678
Ga2 0.416 0.500 0.220
Ga3 0.500 0.500 0.500
Ga4 0.584 0.500 0.780
Ga5 0.783 0.500 0.322

Calculated values
formation energy from the elements: -390 meV/atom

No. 2
Below is a geometry-optimized ReIrBr2 structure, with properties calculated at the PBE level.

a = 3.015 Å, b = 4.485 Å, c = 5.265 Å
α = 90.00°, β = 94.45°, γ = 90.00°
Atoms (fractional coordinates):
Re1 0.000 0.000 0.000
Ir1 0.500 0.000 0.500
Br1 0.221 0.500 0.249
Br2 0.779 0.500 0.751

Calculated values
formation energy from raw total energies: 1.279 eV per atom
energy above the lowest structure with this stoichiometry: 1.0293 eV per atom

No. 3
Below is a geometry-optimized Th8NiPt3Se4 structure, with properties calculated at the PBE level.

a = 8.325 Å, b = 8.325 Å, c = 8.682 Å
α = 118.82°, β = 118.82°, γ = 59.52°
Atoms (fractional coordinates):
Th1 0.240 0.240 0.728
Th2 0.240 0.750 0.728
Th3 0.250 0.760 0.272
Th4 0.255 0.255 0.267
Th5 0.745 0.745 0.733
Th6 0.750 0.240 0.728
Th7 0.760 0.250 0.272
Th8 0.760 0.760 0.272
Ni1 0.000 0.000 0.500
Pt1 0.000 0.500 0.500
Pt2 0.500 0.000 0.500
Pt3 0.500 0.500 0.500
Se1 0.000 0.000 0.000
Se2 0.000 0.500 0.000
Se3 0.500 0.000 0.000
Se4 0.500 0.500 0.000

Calculated values
formation energy from raw total energies: -1.244 eV per atom

No. 4
Below is a geometry-optimized KSeCl6 structure, with properties calculated at the PBE level.

a = 6.670 Å, b = 6.670 Å, c = 7.250 Å
α = 118.14°, β = 118.14°, γ = 86.75°
Atoms (fractional coordinates):
K1 0.000 0.000 0.000
Se1 0.500 0.500 0.000
Cl1 0.177 0.177 0.706
Cl2 0.310 0.672 0.223
Cl3 0.328 0.690 0.777
Cl4 0.672 0.310 0.223
Cl5 0.690 0.328 0.777
Cl6 0.823 0.823 0.294

Calculated values
formation energy from raw total energies: -0.612 eV per atom
energy above the lowest structure with this stoichiometry: 0.0030 eV per atom

No. 5
Below is a geometry-optimized NiBr structure, with properties calculated at the PBE level.

a = 4.039 Å, b = 4.039 Å, c = 3.476 Å
α = 90.00°, β = 90.00°, γ = 129.45°
Atoms (fractional coordinates):
Ni1 0.000 0.000 0.000
Br1 0.500 0.500 0.500

Calculated values
formation energy from raw total energies: 0.327 eV per atom

No. 6
Below is a geometry-optimized Sm4HoTe4 structure, with properties calculated at the PBE level.

a = 7.584 Å, b = 7.584 Å, c = 7.584 Å
α = 117.53°, β = 117.53°, γ = 94.34°
Atoms (fractional coordinates):
Sm1 0.000 0.500 0.500
Sm2 0.170 0.170 0.000
Sm3 0.500 0.000 0.500
Sm4 0.830 0.830 0.000
Ho1 0.500 0.500 0.000
Te1 0.132 0.589 0.000
Te2 0.411 0.411 0.543
Te3 0.589 0.132 0.000
Te4 0.868 0.868 0.457

Calculated values
formation energy from raw total energies: -0.806 eV per atom

No. 7
Below is a geometry-optimized KInOs2 structure, with properties calculated at the PBE level.

a = 10.364 Å, b = 10.364 Å, c = 10.364 Å
α = 16.15°, β = 16.15°, γ = 16.15°
Atoms (fractional coordinates):
K1 0.000 0.000 0.000
In1 0.500 0.500 0.500
Os1 0.239 0.239 0.239
Os2 0.761 0.761 0.761

Calculated values
formation energy from the elements: 1022 meV/atom

No. 8
Below is a geometry-optimized CaZn2Ga4Ir structure, with properties calculated at the PBE level.

a = 9.637 Å, b = 9.637 Å, c = 9.637 Å
α = 25.86°, β = 25.86°, γ = 25.86°
Atoms (fractional coordinates):
Ca1 0.000 0.000 0.000
Zn1 0.262 0.262 0.262
Zn2 0.738 0.738 0.738
Ga1 0.137 0.137 0.137
Ga2 0.407 0.407 0.407
Ga3 0.593 0.593 0.593
Ga4 0.863 0.863 0.863
Ir1 0.500 0.500 0.500

Calculated values
formation energy from the elements: -258 meV/atom

No. 9
Below is a geometry-optimized La3DyAl8 structure, with properties calculated at the PBE level.

a = 5.702 Å, b = 5.702 Å, c = 9.381 Å
α = 90.00°, β = 90.00°, γ = 120.00°
Atoms (fractional coordinates):
La1 0.000 0.000 0.000
La2 0.000 0.000 0.362
La3 0.333 0.667 0.864
Dy1 0.333 0.667 0.499
Al1 0.010 0.505 0.185
Al2 0.325 0.162 0.676
Al3 0.495 0.505 0.185
Al4 0.495 0.990 0.185
Al5 0.667 0.333 0.432
Al6 0.667 0.333 0.927
Al7 0.838 0.162 0.676
Al8 0.838 0.675 0.676

Calculated values
energy above the lowest structure with this stoichiometry: 0.0164 eV per atom
formation energy from the elements: -479 meV/atom

No. 10
Below is a geometry-optimized HfSc2Al2 structure, with properties calculated at the PBE level.

a = 7.754 Å, b = 7.754 Å, c = 3.418 Å
α = 90.00°, β = 90.00°, γ = 90.00°
Atoms (fractional coordinates):
Hf1 0.000 0.000 0.000
Hf2 0.500 0.500 0.000
Sc1 0.177 0.323 0.500
Sc2 0.323 0.823 0.500
Sc3 0.677 0.177 0.500
Sc4 0.823 0.677 0.500
Al1 0.121 0.621 0.000
Al2 0.379 0.121 0.000
Al3 0.621 0.879 0.000
Al4 0.879 0.379 0.000

Calculated values
energy above the lowest structure with this stoichiometry: 0.0000 eV per atom
formation energy from the elements: -286 meV/atom

No. 11
Below is a geometry-optimized BeV3B3 structure, with properties calculated at the PBE level.

a = 7.110 Å, b = 7.110 Å, c = 7.110 Å
α = 155.45°, β = 155.37°, γ = 35.06°
Atoms (fractional coordinates):
Be1 0.000 0.000 0.000
V1 0.374 0.874 0.500
V2 0.569 0.569 0.000
V3 0.753 0.253 0.500
B1 0.134 0.134 0.000
B2 0.202 0.702 0.500
B3 0.922 0.422 0.500

Calculated values
formation energy from the elements: -674 meV/atom

No. 12
Below is a geometry-optimized TbGa2CuPt2 structure, with properties calculated at the PBE level.

a = 4.351 Å, b = 4.351 Å, c = 6.451 Å
α = 90.00°, β = 90.00°, γ = 120.00°
Atoms (fractional coordinates):
Tb1 0.000 0.000 0.000
Ga1 0.333 0.667 0.310
Ga2 0.667 0.333 0.690
Cu1 0.000 0.000 0.500
Pt1 0.333 0.667 0.719
Pt2 0.667 0.333 0.281

Calculated values
formation energy from the elements: -798 meV/atom

No. 13
Below is a geometry-optimized MoOs2 structure, with properties calculated at the PBE level.

a = 6.043 Å, b = 6.043 Å, c = 6.043 Å
α = 90.00°, β = 90.00°, γ = 90.00°
Atoms (fractional coordinates):
Mo1 0.000 0.000 0.000
Mo2 0.000 0.500 0.500
Mo3 0.500 0.000 0.500
Mo4 0.500 0.500 0.000
Os1 0.115 0.615 0.885
Os2 0.115 0.885 0.385
Os3 0.385 0.115 0.885
Os4 0.385 0.385 0.385
Os5 0.615 0.615 0.615
Os6 0.615 0.885 0.115
Os7 0.885 0.115 0.615
Os8 0.885 0.385 0.115

Calculated values
energy above the lowest structure with this stoichiometry: 1.3750 eV per atom
formation energy from the elements: 1356 meV/atom

No. 14
Below is a geometry-optimized Hf2MnBe structure, with properties calculated at the PBE level.

a = 9.194 Å, b = 9.194 Å, c = 9.194 Å
α = 18.99°, β = 18.99°, γ = 18.99°
Atoms (fractional coordinates):
Hf1 0.094 0.094 0.094
Hf2 0.906 0.906 0.906
Mn1 0.000 0.000 0.000
Be1 0.500 0.500 0.500

Calculated values
formation energy from the elements: 540 meV/atom

No. 15
Below is a geometry-optimized MgIr2Br structure, with properties calculated at the PBE level.

a = 5.361 Å, b = 5.361 Å, c = 4.496 Å
α = 95.50°, β = 95.50°, γ = 31.95°
Atoms (fractional coordinates):
Mg1 0.000 0.000 0.000
Ir1 0.280 0.280 0.774
Ir2 0.720 0.720 0.226
Br1 0.500 0.500 0.500

Calculated values
formation energy from raw total energies: 0.210 eV per atom
energy above the lowest structure with this stoichiometry: 0.1063 eV per atom

No. 16
Below is a geometry-optimized TeCSe2 structure, with properties calculated at the PBE level.

a = 6.108 Å, b = 6.108 Å, c = 6.108 Å
α = 114.82°, β = 114.82°, γ = 99.23°
Atoms (fractional coordinates):
Te1 0.000 0.000 0.000
Te2 0.750 0.250 0.500
C1 0.250 0.750 0.500
C2 0.500 0.500 0.000
Se1 0.231 0.625 0.106
Se2 0.375 0.481 0.606
Se3 0.519 0.125 0.894
Se4 0.875 0.769 0.394

Calculated values
formation energy from raw total energies: 1.043 eV per atom
energy above the lowest structure with this stoichiometry: 0.2009 eV per atom

No. 17
Below is a geometry-optimized SrHgIr2 structure, with properties calculated at the PBE level.

a = 3.092 Å, b = 3.092 Å, c = 8.325 Å
α = 90.00°, β = 90.00°, γ = 90.00°
Atoms (fractional coordinates):
Sr1 0.000 0.000 0.000
Hg1 0.000 0.000 0.500
Ir1 0.500 0.500 0.276
Ir2 0.500 0.500 0.724

Calculated values
formation energy from the elements: 521 meV/atom

No. 18
Below is a geometry-optimized TePt2Se structure, with properties calculated at the PBE level.

a = 4.729 Å, b = 4.729 Å, c = 4.729 Å
α = 111.04°, β = 111.04°, γ = 106.38°
Atoms (fractional coordinates):
Te1 0.000 0.000 0.000
Pt1 0.000 0.500 0.500
Pt2 0.500 0.000 0.500
Se1 0.500 0.500 0.000

Calculated values
formation energy from raw total energies: -0.025 eV per atom
energy above the lowest structure with this stoichiometry: 0.2865 eV per atom

Calculated total energy per entry: -4.156, -4.884, -7.319, -2.570, -3.400, -4.809, -5.552, -3.448, -4.590, -6.306, -7.976, -5.275, -9.741, -7.660, -5.038, -3.791, -4.405, -4.702 eV per atom
M_tot per entry: 1.479, 0.000, 0.000, 0.000, 0.541, 0.011, 0.000, 0.000, 0.000, 0.000, 0.000, 0.000, 0.000, 2.265, 0.000, 0.000, 0.001, 0.000 μB/f.u.